(1)
VASP calculation (SCAN) on a PBEsol-optimized structure of CaB5H3O10.

a b c (Å): 6.536 19.492 6.556
angles (deg): 90.00 119.28 90.00
Space group P2_1/c (No. 14)
Inequivalent atoms, fractional coordinates:
Ca 0.180 0.193 0.056 [4 per cell]
B 0.082 0.156 0.565 [4 per cell]
B 0.227 0.685 0.331 [4 per cell]
B 0.316 0.050 0.658 [4 per cell]
B 0.326 0.673 0.023 [4 per cell]
B 0.492 0.660 0.752 [4 per cell]
H 0.150 0.045 0.159 [4 per cell]
H 0.165 0.543 0.084 [4 per cell]
H 0.404 0.055 0.190 [4 per cell]
O 0.006 0.192 0.336 [4 per cell]
O 0.095 0.667 0.860 [4 per cell]
O 0.100 0.082 0.534 [4 per cell]
O 0.239 0.074 0.109 [4 per cell]
O 0.277 0.689 0.557 [4 per cell]
O 0.295 0.188 0.741 [4 per cell]
O 0.324 0.521 0.159 [4 per cell]
O 0.394 0.674 0.263 [4 per cell]
O 0.482 0.586 0.727 [4 per cell]
O 0.496 0.180 0.524 [4 per cell]

Values from the calculation:
- Calculated density: 2.34 Mg/m³
- Raw total energy: -164.992 eV per formula unit

---

(2)
VASP calculation (SCAN) on a PBEsol-optimized structure of Ca2B3H13O13.

a b c (Å): 7.122 7.892 9.730
angles (deg): 107.87 110.51 94.96
Space group P-1 (No. 2)
Inequivalent atoms, fractional coordinates:
Ca 0.081 0.389 0.331 [2 per cell]
Ca 0.240 0.417 0.964 [2 per cell]
B 0.136 0.784 0.025 [2 per cell]
B 0.189 0.741 0.291 [2 per cell]
B 0.366 0.033 0.290 [2 per cell]
H 0.008 0.242 0.588 [2 per cell]
H 0.082 0.045 0.379 [2 per cell]
H 0.135 0.126 0.088 [2 per cell]
H 0.157 0.929 0.647 [2 per cell]
H 0.312 0.486 0.692 [2 per cell]
H 0.337 0.063 0.006 [2 per cell]
H 0.363 0.643 0.631 [2 per cell]
H 0.364 0.002 0.567 [2 per cell]
H 0.371 0.752 0.946 [2 per cell]
H 0.390 0.072 0.855 [2 per cell]
H 0.418 0.599 0.292 [2 per cell]
H 0.434 0.283 0.773 [2 per cell]
H 0.487 0.278 0.471 [2 per cell]
O 0.001 0.315 0.690 [2 per cell]
O 0.011 0.864 0.602 [2 per cell]
O 0.083 0.239 0.075 [2 per cell]
O 0.138 0.673 0.121 [2 per cell]
O 0.222 0.697 0.910 [2 per cell]
O 0.244 0.547 0.611 [2 per cell]
O 0.247 0.973 0.118 [2 per cell]
O 0.259 0.941 0.363 [2 per cell]
O 0.336 0.636 0.359 [2 per cell]
O 0.382 0.145 0.956 [2 per cell]
O 0.386 0.230 0.357 [2 per cell]
O 0.427 0.018 0.681 [2 per cell]
O 0.450 0.417 0.817 [2 per cell]

Values from the calculation:
- Calculated density: 2.33 Mg/m³
- Raw total energy: -223.175 eV per formula unit

---

(3)
VASP calculation (SCAN) on a PBEsol-optimized structure of Ca3B4H12O3.

a b c (Å): 8.888 7.935 11.661
angles (deg): 90.00 90.00 90.00
Space group Cmc2_1 (No. 36)
Inequivalent atoms, fractional coordinates:
Ca 0.000 0.080 0.000 [4 per cell]
Ca 0.232 0.220 0.269 [8 per cell]
B 0.000 0.000 0.275 [4 per cell]
B 0.000 0.494 0.756 [4 per cell]
B 0.224 0.219 0.523 [8 per cell]
H 0.000 0.352 0.800 [4 per cell]
H 0.000 0.404 0.336 [4 per cell]
H 0.110 0.489 0.193 [8 per cell]
H 0.120 0.236 0.454 [8 per cell]
H 0.161 0.337 0.978 [8 per cell]
H 0.184 0.118 0.597 [8 per cell]
H 0.242 0.359 0.565 [8 per cell]
O 0.000 0.124 0.192 [4 per cell]
O 0.134 0.050 0.825 [8 per cell]

Values from the calculation:
- Calculated density: 1.81 Mg/m³
- Raw total energy: -143.293 eV per formula unit

---

(4)
VASP calculation (SCAN) on a PBEsol-optimized structure of CaB8H4O15.

a b c (Å): 7.449 8.384 9.723
angles (deg): 90.00 107.81 90.00
Space group P2_1 (No. 4)
Inequivalent atoms, fractional coordinates:
Ca 0.098 0.000 0.277 [2 per cell]
B 0.023 0.667 0.491 [2 per cell]
B 0.040 0.659 0.019 [2 per cell]
B 0.074 0.910 0.901 [2 per cell]
B 0.080 0.911 0.641 [2 per cell]
B 0.133 0.624 0.283 [2 per cell]
B 0.379 0.932 0.847 [2 per cell]
B 0.413 0.525 0.735 [2 per cell]
B 0.426 0.537 0.482 [2 per cell]
H 0.335 0.487 0.914 [2 per cell]
H 0.354 0.960 0.572 [2 per cell]
H 0.355 0.984 0.097 [2 per cell]
H 0.383 0.497 0.186 [2 per cell]
O 0.001 0.982 0.753 [2 per cell]
O 0.004 0.752 0.606 [2 per cell]
O 0.012 0.001 0.004 [2 per cell]
O 0.013 0.745 0.895 [2 per cell]
O 0.038 0.012 0.514 [2 per cell]
O 0.080 0.731 0.382 [2 per cell]
O 0.112 0.720 0.154 [2 per cell]
O 0.282 0.499 0.807 [2 per cell]
O 0.282 0.920 0.945 [2 per cell]
O 0.288 0.908 0.703 [2 per cell]
O 0.326 0.564 0.340 [2 per cell]
O 0.341 0.557 0.589 [2 per cell]
O 0.391 0.988 0.482 [2 per cell]
O 0.395 0.022 0.202 [2 per cell]
O 0.433 0.470 0.104 [2 per cell]

Values from the calculation:
- Calculated density: 2.13 Mg/m³
- Raw total energy: -243.434 eV per formula unit

---

(5)
VASP calculation (SCAN) on a PBEsol-optimized structure of CaB3HO6.

a b c (Å): 13.473 6.916 4.395
angles (deg): 90.00 90.00 90.00
Space group Pna2_1 (No. 33)
Inequivalent atoms, fractional coordinates:
Ca 0.094 0.205 0.000 [4 per cell]
B 0.071 0.709 0.973 [4 per cell]
B 0.143 0.843 0.451 [4 per cell]
B 0.231 0.593 0.167 [4 per cell]
H 0.047 0.491 0.538 [4 per cell]
O 0.033 0.350 0.549 [4 per cell]
O 0.069 0.750 0.646 [4 per cell]
O 0.096 0.879 0.156 [4 per cell]
O 0.143 0.547 0.029 [4 per cell]
O 0.176 0.027 0.586 [4 per cell]
O 0.233 0.721 0.406 [4 per cell]

Values from the calculation:
- Calculated density: 2.75 Mg/m³
- Raw total energy: -101.972 eV per formula unit

---

(6)
VASP calculation (SCAN) on a PBEsol-optimized structure of CaB2H4O6.

a b c (Å): 6.849 12.154 11.181
angles (deg): 90.00 120.21 90.00
Space group P2_1/c (No. 14)
Inequivalent atoms, fractional coordinates:
Ca 0.061 0.242 0.262 [4 per cell]
Ca 0.410 0.102 0.634 [4 per cell]
B 0.077 0.507 0.834 [4 per cell]
B 0.198 0.690 0.595 [4 per cell]
B 0.346 0.653 0.020 [4 per cell]
B 0.456 0.666 0.269 [4 per cell]
H 0.002 0.068 0.899 [4 per cell]
H 0.079 0.589 0.085 [4 per cell]
H 0.203 0.183 0.077 [4 per cell]
H 0.238 0.059 0.237 [4 per cell]
H 0.253 0.018 0.795 [4 per cell]
H 0.377 0.603 0.529 [4 per cell]
H 0.433 0.042 0.093 [4 per cell]
H 0.484 0.221 0.013 [4 per cell]
O 0.023 0.145 0.934 [4 per cell]
O 0.070 0.085 0.421 [4 per cell]
O 0.081 0.045 0.214 [4 per cell]
O 0.139 0.069 0.725 [4 per cell]
O 0.169 0.736 0.985 [4 per cell]
O 0.277 0.573 0.908 [4 per cell]
O 0.291 0.746 0.731 [4 per cell]
O 0.316 0.216 0.171 [4 per cell]
O 0.353 0.597 0.609 [4 per cell]
O 0.405 0.594 0.151 [4 per cell]
O 0.443 0.208 0.461 [4 per cell]
O 0.448 0.599 0.380 [4 per cell]

Values from the calculation:
- Calculated density: 2.67 Mg/m³
- Raw total energy: -103.014 eV per formula unit